Density functional theory data (PBEsol) for an optimized crystal structure of TaCo4Mo.

Its density is 11967 kg/m3. Its formation energy is -0.14 eV/atom. For the distance to the lowest polymorph of the same formula, the calculation gives 0.0 meV per atom.

The space group is P-3m1 (No. 164) and the conventional cell measures 4.6510, 4.6510 and 7.5938 Å, with angles of 90.00, 90.00 and 120.00 degrees. The asymmetric unit holds Ta at (0.3333, 0.6667, 0.0766), Co at (0.0000, 0.0000, 0.0000), Co at (0.0000, 0.0000, 0.5000), Co at (0.1684, 0.3368, 0.7492) and Mo at (0.3333, 0.6667, 0.4448).